No. 1
First-principles (PBE) data for a relaxed structure of BeCd2Si, as listed in Alexandria via LeMat-Bulk.

Results
Spin magnetization: 0.00 μB/atom
Crystal system: tetragonal
E_form (uncorrected): 56 kJ/mol of atoms
ΔE to the lowest computed polymorph: 293 meV/atom
Fermi-level density of states: 2.2 states/eV/f.u.

```
4
Lattice="5.177 0.000 0.000 0.000 5.177 0.000 0.000 0.000 2.729" Properties=species:S:1:pos:R:3 pbc="T T T"
Be 0.000 0.000 0.000
Cd 0.000 2.589 1.365
Cd 2.589 0.000 1.365
Si 2.589 2.589 0.000
```


No. 2
First-principles (PBE) data for a relaxed structure of Ca2Zn2P3, as listed in Alexandria via LeMat-Bulk.

Results
Formation energy from the elements: -0.800 eV per atom
Spin magnetization: 0.00 μB/atom
Crystal system: monoclinic
Fermi-level density of states: 0.0 states/eV/f.u.

```
14
Lattice="7.622 -2.032 0.000 7.622 2.032 0.000 -6.668 0.000 9.094" Properties=species:S:1:pos:R:3 pbc="T T T"
Ca -1.361 0.000 4.139
Ca -2.026 0.000 7.571
Ca 10.601 0.000 1.523
Ca 9.936 0.000 4.955
Zn 0.347 0.000 1.411
Zn 5.731 0.000 1.695
Zn 2.844 0.000 7.399
Zn 8.229 0.000 7.683
P -4.642 0.000 8.762
P 0.624 0.000 6.327
P 3.931 0.000 3.473
P 4.644 0.000 5.621
P 7.951 0.000 2.767
P 13.217 0.000 0.333
```


No. 3
First-principles (PBE) data for a relaxed structure of PrCrCl6, as listed in Alexandria via LeMat-Bulk.

Results
Spin magnetization: 0.37 μB/atom
Crystal system: trigonal
E_form (uncorrected): -155 kJ/mol of atoms

```
8
Lattice="3.235 1.868 5.893 -3.235 1.868 5.893 0.000 -3.736 5.893" Properties=species:S:1:pos:R:3 pbc="T T T"
Pr 0.000 0.000 0.000
Cr 0.000 0.000 8.839
Cl -1.940 -0.027 7.482
Cl -0.947 -1.694 10.196
Cl 0.993 -1.667 7.482
Cl -0.993 1.667 10.196
Cl 0.947 1.694 7.482
Cl 1.940 0.027 10.196
```


Theoretical density per entry: 5.95 3.58 3.15 g/cm³